Entry from Alexandria via LeMat-Bulk: an optimized crystal structure of MgTaAu (GGA-PBE).

a = 8.1088 Å, b = 5.8286 Å, c = 4.6857 Å
α = 90.00°, β = 90.00°, γ = 90.00°
Element x y z (fractional)
Ta (0.3336, 0.2500, 0.0000)
Ta (0.1664, 0.7500, 0.5000)
Ta (0.6664, 0.7500, 0.0000)
Ta (0.8336, 0.2500, 0.5000)
Mg (0.0000, 0.5000, 0.0000)
Mg (0.0000, 0.0000, 0.0000)
Mg (0.5000, 0.5000, 0.5000)
Mg (0.5000, 0.0000, 0.5000)
Au (0.6669, 0.2500, 0.0000)
Au (0.1669, 0.2500, 0.5000)
Au (0.3331, 0.7500, 0.0000)
Au (0.8331, 0.7500, 0.5000)

Output
The total energy comes out at -5.465 eV/atom. The density of states at the Fermi level is 2.584 states/eV/cell.

Entry from Alexandria via LeMat-Bulk: an optimized crystal structure of Pm2NdSm (GGA-PBE).

a = 3.6713 Å, b = 3.6713 Å, c = 12.0316 Å
α = 81.22°, β = 81.22°, γ = 60.00°
Element x y z (fractional)
Nd (0.6669, 0.6669, 0.9992)
Sm (0.5001, 0.5001, 0.4996)
Pm (0.0836, 0.0836, 0.7492)
Pm (0.2493, 0.2493, 0.2520)

Output
The total energy comes out at -4.735 eV/atom. The density of states at the Fermi level is 6.066 states/eV/cell.

Entry from Alexandria via LeMat-Bulk: an optimized crystal structure of La2HgBr2 (GGA-PBE).

a = 4.3370 Å, b = 4.3370 Å, c = 11.5567 Å
α = 79.18°, β = 79.18°, γ = 60.00°
Element x y z (fractional)
Br (0.2201, 0.2201, 0.3398)
Br (0.7799, 0.7799, 0.6602)
La (0.3931, 0.3931, 0.8208)
La (0.6069, 0.6069, 0.1792)
Hg (0.0000, 0.0000, 0.0000)

Output
The total energy comes out at -3.932 eV/atom. The density of states at the Fermi level is 4.254 states/eV/cell. The value obtained for the formation energy (no corrections) is -1231 meV per atom.

Entry from Alexandria via LeMat-Bulk: an optimized crystal structure of Pm4RuSBr2 (GGA-PBE).

a = 4.0095 Å, b = 7.3780 Å, c = 7.8084 Å
α = 106.34°, β = 90.00°, γ = 90.00°
Element x y z (fractional)
Pm (0.5000, 0.7608, 0.8043)
Pm (0.5000, 0.2392, 0.1957)
Pm (0.0000, 0.2807, 0.8013)
Pm (0.0000, 0.7193, 0.1987)
Br (0.0000, 0.5000, 0.5000)
Br (0.5000, 0.0000, 0.5000)
S (0.0000, 0.0000, 0.0000)
Ru (0.5000, 0.5000, 0.0000)

Output
The total energy comes out at -5.655 eV/atom. The density of states at the Fermi level is 5.804 states/eV/cell. The value obtained for the formation energy (no corrections) is -1186 meV per atom.